NaCaRu2: relaxed, PBE.

Calculated values
energy of formation from the pure elements: 1.1 eV/f.u.
spin magnetization: 0.00 μB per atom

Unit cell a=3.9829 b=5.3706 c=9.3772 alpha=81.53 beta=78.11 gamma=90.00
Last column: nearest neighbours and their distance in Å.
Space group P1 (No. 1)
Asymmetric unit:
Na: 0.0000 0.0000 0.0000 x1  2 Ru 3.09-3.17, 2 Ca 3.44
Na: 0.3146 0.9131 0.3649 x1  5 Ru 2.96-3.22
Ca: 0.5462 0.5213 0.9042 x1  5 Ru 2.88-3.11
Ca: 0.8483 0.4227 0.3050 x1  2 Ru 2.91-2.96
Ru: 0.1501 0.8364 0.6916 x1  6 Ru 2.53-2.70
Ru: 0.1534 0.3353 0.6847 x1  6 Ru 2.53-2.70
Ru: 0.6958 0.1060 0.5977 x1  6 Ru 2.53-2.70
Ru: 0.7012 0.6113 0.5866 x1  6 Ru 2.56-2.70



Li2ZnRu: relaxed, PBE.

Calculated values
energy of formation from the pure elements: 0.3 eV/f.u.
spin magnetization: 0.00 μB per atom

Unit cell a=2.8671 b=4.4627 c=9.2445 alpha=90.00 beta=90.00 gamma=90.00
Last column: nearest neighbours and their distance in Å.
Space group Cmm2 (No. 35)
Asymmetric unit:
Li: 0.0000 0.0000 0.0000 x2  2 Ru 2.61, 6 Li 2.65-2.87
Li: 0.0000 0.5000 0.2814 x2  8 Li 2.65-2.97, 2 Zn 2.66
Zn: 0.0000 0.0000 0.5243 x2  2 Ru 2.64, 6 Zn 2.65-2.87, 2 Li 2.66
Ru: 0.0000 0.5000 0.7638 x2  2 Li 2.61, 2 Zn 2.64, 6 Ru 2.65-2.87



Sm15HoTm4: relaxed, PBE.

Calculated values
energy of formation from the pure elements: 0.3 eV/f.u.
spin magnetization: 0.00 μB per atom

Unit cell a=5.0870 b=5.0870 c=25.3405 alpha=90.00 beta=90.00 gamma=90.00
Last column: nearest neighbours and their distance in Å.
Space group P4/mmm (No. 123)
Asymmetric unit:
Sm: 0.0000 0.0000 0.0000 x1  8 Sm 3.60, 4 Ho 3.60
Sm: 0.0000 0.0000 0.2002 x2  8 Sm 3.59, 4 Tm 3.60
Sm: 0.0000 0.0000 0.4000 x2  8 Sm 3.59, 4 Tm 3.60
Sm: 0.0000 0.5000 0.1003 x4  2 Tm 3.59, 8 Sm 3.59-3.60, 2 Ho 3.60
Sm: 0.0000 0.5000 0.3001 x4  8 Sm 3.59-3.60, 4 Tm 3.59
Sm: 0.0000 0.5000 0.5000 x2  8 Sm 3.59-3.60, 4 Tm 3.59
Ho: 0.5000 0.5000 0.0000 x1  12 Sm 3.60
Tm: 0.5000 0.5000 0.2002 x2  12 Sm 3.59-3.60
Tm: 0.5000 0.5000 0.4000 x2  12 Sm 3.59-3.60